# 1
An optimized crystal structure of ZrHgRu2. Source: the Alexandria database, functional PBE-GGA.

Its crystal system is tetragonal. The calculation puts the total magnetic moment at 0.8 μB per formula unit. The density of states at the Fermi level comes out at 1.37 states/eV/atom. For the formation energy, the calculation gives 3 kJ per mole of atoms.

Geometry as POSCAR:
```
ZrHgRu2
1.0
3.9926 0.0000 0.0000
0.0000 3.9926 0.0000
0.0000 0.0000 8.6097
Zr Hg Ru
2 2 4
Direct
0.0000 0.0000 0.0000
0.5000 0.5000 0.5000
0.0000 0.5000 0.7500
0.5000 0.0000 0.2500
0.0000 0.0000 0.5000
0.0000 0.5000 0.2500
0.5000 0.0000 0.7500
0.5000 0.5000 0.0000
```

***

# 2
An optimized crystal structure of MgCr2W. Source: the Alexandria database, functional PBE-GGA.

Its crystal system is orthorhombic. The calculation puts the total magnetic moment at 0.0 μB per formula unit. The density of states at the Fermi level comes out at 0.64 states/eV/atom. For the formation energy, the calculation gives 37 kJ per mole of atoms.

Geometry as POSCAR:
```
MgCr2W
1.0
2.9740 0.0000 0.0000
0.0000 4.4018 0.0000
0.0000 0.0000 8.6852
Mg Cr W
2 4 2
Direct
0.0000 0.0000 0.0000
0.5000 0.5000 0.5000
0.0000 0.0000 0.5264
0.0000 0.5000 0.2336
0.5000 0.0000 0.7336
0.5000 0.5000 0.0264
0.0000 0.5000 0.7773
0.5000 0.0000 0.2773
```

***

# 3
An optimized crystal structure of LiCaTa. Source: the Alexandria database, functional PBE-GGA.

Its crystal system is cubic. The calculation puts the total magnetic moment at 4.1 μB per formula unit. The density of states at the Fermi level comes out at 1.58 states/eV/atom. For the formation energy, the calculation gives 160 kJ per mole of atoms.

Geometry as POSCAR:
```
LiCaTa
1.0
7.2154 0.0000 0.0000
0.0000 7.2154 0.0000
0.0000 0.0000 7.2154
Li Ca Ta
4 4 4
Direct
0.0000 0.0000 0.0000
0.0000 0.5000 0.5000
0.5000 0.0000 0.5000
0.5000 0.5000 0.0000
0.0000 0.0000 0.5000
0.0000 0.5000 0.0000
0.5000 0.0000 0.0000
0.5000 0.5000 0.5000
0.2500 0.2500 0.7500
0.2500 0.7500 0.2500
0.7500 0.2500 0.2500
0.7500 0.7500 0.7500
```

***

# 4
An optimized crystal structure of GdAlPdRu. Source: the Alexandria database, functional PBE-GGA.

Its crystal system is cubic. The calculation puts the total magnetic moment at 7.1 μB per formula unit. The density of states at the Fermi level comes out at 0.40 states/eV/atom. For the formation energy, the calculation gives -55 kJ per mole of atoms.

Geometry as POSCAR:
```
GdAlPdRu
1.0
6.5488 0.0000 0.0000
0.0000 6.5488 0.0000
0.0000 0.0000 6.5488
Gd Al Pd Ru
4 4 4 4
Direct
0.0000 0.0000 0.0000
0.0000 0.5000 0.5000
0.5000 0.0000 0.5000
0.5000 0.5000 0.0000
0.0000 0.0000 0.5000
0.0000 0.5000 0.0000
0.5000 0.0000 0.0000
0.5000 0.5000 0.5000
0.2500 0.2500 0.7500
0.2500 0.7500 0.2500
0.7500 0.2500 0.2500
0.7500 0.7500 0.7500
0.2500 0.2500 0.2500
0.2500 0.7500 0.7500
0.7500 0.2500 0.7500
0.7500 0.7500 0.2500
```

***

# 5
An optimized crystal structure of PaAlFe. Source: the Alexandria database, functional PBE-GGA.

Its crystal system is monoclinic. The calculation puts the total magnetic moment at 0.0 μB per formula unit. The density of states at the Fermi level comes out at 1.23 states/eV/atom. For the formation energy, the calculation gives -19 kJ per mole of atoms.

Geometry as POSCAR:
```
PaAlFe
1.0
6.3509 0.0000 0.0000
0.0000 5.9678 0.0000
-1.4952 0.0000 5.7011
Pa Al Fe
4 4 4
Direct
0.1992 0.0300 0.4162
0.1992 0.4700 0.9162
0.8008 0.5300 0.0838
0.8008 0.9700 0.5838
0.2707 0.5222 0.4365
0.2707 0.9778 0.9365
0.7293 0.0222 0.0635
0.7293 0.4778 0.5635
0.4938 0.2457 0.2492
0.4938 0.2543 0.7492
0.5062 0.7457 0.2508
0.5062 0.7543 0.7508
```

***

# 6
An optimized crystal structure of SrNbW3. Source: the Alexandria database, functional PBE-GGA.

Its crystal system is cubic. The calculation puts the total magnetic moment at 0.0 μB per formula unit. The density of states at the Fermi level comes out at 2.22 states/eV/atom. For the formation energy, the calculation gives 334 kJ per mole of atoms.

Geometry as POSCAR:
```
SrNbW3
1.0
4.7171 0.0000 0.0000
0.0000 4.7171 0.0000
0.0000 0.0000 4.7171
Sr Nb W
1 1 3
Direct
0.0000 0.0000 0.0000
0.5000 0.5000 0.5000
0.0000 0.0000 0.5000
0.0000 0.5000 0.0000
0.5000 0.0000 0.0000
```

***

# 7
An optimized crystal structure of Sr2Al5Au3. Source: the Alexandria database, functional PBE-GGA.

Its crystal system is orthorhombic. The calculation puts the total magnetic moment at 0.0 μB per formula unit. The density of states at the Fermi level comes out at 0.41 states/eV/atom. For the formation energy, the calculation gives -55 kJ per mole of atoms.

Geometry as POSCAR:
```
Sr2Al5Au3
1.0
-5.4738 6.2254 3.1759
5.4738 -6.2254 3.1759
5.4738 6.2254 -3.1759
Sr Al Au
4 10 6
Direct
0.1287 0.2458 0.3745
0.3713 0.7458 0.1171
0.6287 0.2542 0.8829
0.8713 0.7542 0.6255
0.0016 0.7500 0.2516
0.1169 0.6358 0.7527
0.2500 0.2500 0.0000
0.3831 0.1358 0.5188
0.4984 0.7500 0.7484
0.5016 0.2500 0.2516
0.6169 0.8642 0.4812
0.7500 0.7500 0.0000
0.8831 0.3642 0.2473
0.9984 0.2500 0.7484
0.1253 0.8723 0.9976
0.2500 0.7500 0.5000
0.3747 0.3723 0.7470
0.6253 0.6277 0.2530
0.7500 0.2500 0.5000
0.8747 0.1277 0.0024
```

***

# 8
An optimized crystal structure of BH3. Source: the Alexandria database, functional PBE-GGA.

Its crystal system is orthorhombic. The calculation puts the total magnetic moment at 0.0 μB per formula unit. The density of states at the Fermi level comes out at 0.06 states/eV/atom. The electronic total energy comes out at -3.525 eV/atom.

Geometry as POSCAR:
```
BH3
1.0
1.8803 0.0000 0.0000
0.0000 5.5601 0.0000
0.0000 0.0000 3.9479
B H
2 6
Direct
0.0000 0.0000 0.0000
0.5000 0.5000 0.5000
0.0000 0.3318 0.6479
0.0000 0.5000 0.2333
0.0000 0.6682 0.6479
0.5000 0.0000 0.7333
0.5000 0.1682 0.1479
0.5000 0.8318 0.1479
```

***

# 9
An optimized crystal structure of Na3Cd2Hg2. Source: the Alexandria database, functional PBE-GGA.

Its crystal system is orthorhombic. The calculation puts the total magnetic moment at 0.0 μB per formula unit. The density of states at the Fermi level comes out at 0.39 states/eV/atom. For the formation energy, the calculation gives -16 kJ per mole of atoms.

Geometry as POSCAR:
```
Na3Cd2Hg2
1.0
4.9221 0.0000 0.0000
0.0000 21.8229 0.0000
0.0000 0.0000 3.3272
Na Cd Hg
6 4 4
Direct
0.0000 0.0000 0.0000
0.0000 0.1499 0.0000
0.0000 0.8501 0.0000
0.5000 0.3501 0.0000
0.5000 0.5000 0.0000
0.5000 0.6499 0.0000
0.0000 0.2867 0.5000
0.0000 0.7133 0.5000
0.5000 0.2133 0.5000
0.5000 0.7867 0.5000
0.0000 0.4279 0.5000
0.0000 0.5721 0.5000
0.5000 0.0721 0.5000
0.5000 0.9279 0.5000
```

***

# 10
An optimized crystal structure of MgZrSc2. Source: the Alexandria database, functional PBE-GGA.

Its crystal system is trigonal. The calculation puts the total magnetic moment at 0.0 μB per formula unit. The density of states at the Fermi level comes out at 1.19 states/eV/atom. For the formation energy, the calculation gives -1 kJ per mole of atoms.

Geometry as POSCAR:
```
MgZrSc2
1.0
3.2301 0.0000 0.0000
-1.6151 2.7974 0.0000
0.0000 0.0000 31.5543
Mg Zr Sc
3 3 6
Direct
0.0000 0.0000 0.0000
0.3333 0.6667 0.6667
0.6667 0.3333 0.3333
0.0000 0.0000 0.5000
0.3333 0.6667 0.1667
0.6667 0.3333 0.8333
0.0000 0.0000 0.2483
0.0000 0.0000 0.7517
0.3333 0.6667 0.4184
0.3333 0.6667 0.9149
0.6667 0.3333 0.0851
0.6667 0.3333 0.5816
```

***

# 11
An optimized crystal structure of CsInF2. Source: the Alexandria database, functional PBE-GGA.

The value obtained for the uncorrected formation energy is -2051 meV/atom. Its crystal system is trigonal. The calculation puts the total magnetic moment at 0.0 μB per formula unit. The density of states at the Fermi level comes out at 0.00 states/eV/atom.

Geometry as POSCAR:
```
CsInF2
1.0
4.0180 0.0000 0.0000
-2.0090 3.4797 0.0000
0.0000 0.0000 21.4122
Cs In F
3 3 6
Direct
0.0000 0.0000 0.0000
0.3333 0.6667 0.6667
0.6667 0.3333 0.3333
0.0000 0.0000 0.1701
0.3333 0.6667 0.8368
0.6667 0.3333 0.5035
0.0000 0.0000 0.5789
0.0000 0.0000 0.7575
0.3333 0.6667 0.2456
0.3333 0.6667 0.4242
0.6667 0.3333 0.0908
0.6667 0.3333 0.9123
```

***

# 12
An optimized crystal structure of Hf3CoPt. Source: the Alexandria database, functional PBE-GGA.

Its crystal system is orthorhombic. The calculation puts the total magnetic moment at 0.0 μB per formula unit. The density of states at the Fermi level comes out at 0.88 states/eV/atom. For the formation energy, the calculation gives -44 kJ per mole of atoms.

Geometry as POSCAR:
```
Hf3CoPt
1.0
4.2993 0.0000 0.0000
0.0000 5.8897 0.0000
0.0000 0.0000 7.5781
Hf Co Pt
6 2 2
Direct
0.2500 0.0020 0.1585
0.2500 0.2500 0.5495
0.2500 0.4980 0.1585
0.7500 0.5020 0.8415
0.7500 0.7500 0.4505
0.7500 0.9980 0.8415
0.2500 0.2500 0.8854
0.7500 0.7500 0.1146
0.2500 0.7500 0.6655
0.7500 0.2500 0.3345
```